*P*
Material: LaSc2Ag
Method: DFT, PBE
State: optimized geometry

POSCAR file:
```
LaSc2Ag
1.0
-5.1235 -0.3357 3.0473
-3.4952 -4.6435 -1.3679
5.7566 0.7401 1.4010
Ag Sc La
1 2 1
direct
0.2500 0.7500 0.5000
0.5000 0.5000 0.0000
0.0000 0.0000 0.0000
0.7500 0.2500 0.5000
```

Output
space group	I4/mmm (139)

*Q*
Material: LaSc2Ag
Method: DFT, PBE
State: optimized geometry

POSCAR file:
```
LaSc2Ag
1.0
3.4441 0.0000 0.0000
1.7221 2.9827 0.0000
1.7221 0.9942 10.1130
Sc La Ag
2 1 1
direct
0.2619 0.2619 0.2142
0.0709 0.0709 0.7872
0.5010 0.5010 0.4971
0.6662 0.6662 0.0014
```

Output
space group	R3m (160)

Most stable one: *Q*, least stable one: *P*.

*P*
Material: LaSc2Ag
Method: DFT, PBE
State: optimized geometry

POSCAR file:
```
LaSc2Ag
1.0
-10.3058 -0.0516 -1.2658
-9.7124 -3.3898 -1.4115
-10.0894 -1.8630 1.5957
Sc La Ag
2 1 1
direct
0.9904 0.9904 0.9904
0.5096 0.5096 0.5096
0.7500 0.7500 0.7500
0.2500 0.2500 0.2500
```

Output
space group	R-3m (166)

*Q*
Material: LaSc2Ag
Method: DFT, PBE
State: optimized geometry

POSCAR file:
```
LaSc2Ag
1.0
-2.4113 -3.4637 2.6039
2.9910 -1.0063 1.4312
0.5585 3.4426 5.0965
Ag La Sc
1 1 2
direct
0.5000 0.2500 0.2500
0.5000 0.7500 0.7500
0.0000 0.0822 0.0258
0.0000 0.4178 0.4742
```

Output
space group	P2/m (10)

*R*
Material: LaSc2Ag
Method: DFT, PBE
State: optimized geometry

POSCAR file:
```
LaSc2Ag
1.0
4.8466 0.0000 0.0000
0.0000 3.5769 -0.1565
0.0000 2.0597 5.9433
Ag Sc La
1 2 1
direct
0.0000 0.3155 0.4976
0.0000 0.0365 0.0510
0.5000 0.4416 0.2381
0.5000 0.7065 0.7133
```

Output
space group	Pm (6)

Most stable one: *R*, least stable one: *P*.

*P*
Material: LaSc2Ag
Method: DFT, PBE
State: optimized geometry

POSCAR file:
```
LaSc2Ag
1.0
-3.5807 -8.4282 5.0542
-1.6637 -7.0566 7.5391
-4.8788 -5.9763 7.0627
La Sc Ag
1 2 1
direct
0.7541 0.7541 0.7541
0.2444 0.2444 0.2444
0.9944 0.9944 0.9944
0.5071 0.5071 0.5071
```

Output
space group	R3m (160)

*Q*
Material: LaSc2Ag
Method: DFT, PBE
State: optimized geometry

POSCAR file:
```
LaSc2Ag
1.0
3.5050 0.0020 0.0000
-0.0037 3.5050 0.0000
0.0000 0.0000 8.1812
Sc Ag La
2 1 1
direct
0.0000 0.0000 0.0502
0.0000 0.0000 0.4498
0.5000 0.5000 0.2500
0.5000 0.5000 0.7500
```

Output
space group	P4/mmm (123)

Most stable one: *Q*, least stable one: *P*.

*P*
Material: LaSc2Ag
Method: DFT, PBE
State: optimized geometry

POSCAR file:
```
LaSc2Ag
1.0
-2.7863 -3.1741 -3.8456
1.5150 -5.4849 0.4976
-1.7840 3.8557 3.8181
Ag Sc La
1 2 1
direct
0.5000 0.5000 0.0000
0.0000 0.0000 0.0000
0.2500 0.7500 0.5000
0.7500 0.2500 0.5000
```

Output
space group	I-4m2 (119)

*Q*
Material: LaSc2Ag
Method: DFT, PBE
State: optimized geometry

POSCAR file:
```
LaSc2Ag
1.0
-1.4971 5.6043 -2.2518
-0.1866 3.6619 -5.0275
-4.6273 0.2204 -2.3390
Ag Sc La
1 2 1
direct
0.4839 0.4839 0.5154
0.7788 0.7788 0.7217
0.0068 0.0068 0.9930
0.2305 0.2305 0.2698
```

Output
space group	Cm (8)

*R*
Material: LaSc2Ag
Method: DFT, PBE
State: optimized geometry

POSCAR file:
```
LaSc2Ag
1.0
3.5041 0.0000 0.0000
0.0000 3.5041 0.0000
0.0000 0.0000 8.4352
Sc Ag La
2 1 1
direct
0.0000 0.0000 0.0340
0.5000 0.5000 0.2766
0.0000 0.0000 0.4584
0.5000 0.5000 0.7310
```

Output
space group	P4mm (99)

Most stable one: *R*, least stable one: *P*.